Density functional theory data (PBE) for CsPaHg2I6 after structural relaxation.

Cell lengths 8.493, 10.221, 13.315 Å; angles 90.00, 114.25, 90.00 degrees
Atoms (fractional coordinates):
1 Cs 0.000 0.000 0.000
2 Cs 0.000 0.500 0.500
3 Pa 0.500 0.000 0.500
4 Pa 0.500 0.500 0.000
5 Hg 0.169 0.086 0.761
6 Hg 0.169 0.414 0.261
7 Hg 0.831 0.586 0.739
8 Hg 0.831 0.914 0.239
9 I 0.181 0.137 0.478
10 I 0.181 0.363 0.978
11 I 0.300 0.745 0.925
12 I 0.300 0.755 0.425
13 I 0.431 0.067 0.270
14 I 0.431 0.433 0.770
15 I 0.569 0.567 0.230
16 I 0.569 0.933 0.730
17 I 0.700 0.245 0.575
18 I 0.700 0.255 0.075
19 I 0.819 0.637 0.022
20 I 0.819 0.863 0.522

Formation energy (no corrections) = -0.866 eV per atom